1.
Crystalline KHfScSe3 at its relaxed geometry. Source: the Open Quantum Materials Database, functional GGA-PBE.

The total magnetic moment comes out at 0.01 μB/cell. The distance to the lowest polymorph of the same formula comes out at 51 meV/atom. The value obtained for the calculated total energy is -5.936 eV per atom. Its crystal system is orthorhombic. For the theoretical density, the calculation gives 5.1 g cm⁻³.

Lattice parameters (Å, degrees): 7.9090 7.9090 10.4521 90.00 90.00 150.38
Closest atoms and distances in Å follow each position.
Element x y z (fractional)
K 0.2441 0.7559 0.7500  8 Se 3.34-3.62
K 0.7559 0.2441 0.2500  8 Se 3.34-3.62
Hf 0.5000 0.5000 0.0000  6 Se 2.78-2.82
Hf 0.5000 0.5000 0.5000  6 Se 2.78-2.82
Sc 0.0354 0.9646 0.2500  4 Se 2.56-2.59
Sc 0.9646 0.0354 0.7500  4 Se 2.56-2.59
Se 0.1222 0.8778 0.0401  1 Sc 2.56, 2 Hf 2.78
Se 0.1222 0.8778 0.4599  1 Sc 2.56, 2 Hf 2.78
Se 0.4300 0.5700 0.2500  2 Sc 2.59, 2 Hf 2.82
Se 0.5700 0.4300 0.7500  2 Sc 2.59, 2 Hf 2.82
Se 0.8778 0.1222 0.5401  1 Sc 2.56, 2 Hf 2.78
Se 0.8778 0.1222 0.9599  1 Sc 2.56, 2 Hf 2.78


2.
Crystalline K2HfSe3 at its relaxed geometry. Source: the Open Quantum Materials Database, functional GGA-PBE.

The total magnetic moment comes out at 0.00 μB/cell. The value obtained for the calculated total energy is -5.109 eV per atom. Its crystal system is monoclinic. For the theoretical density, the calculation gives 4.7 g cm⁻³.

Lattice parameters (Å, degrees): 8.0345 4.0182 10.7915 90.00 95.01 90.00
Closest atoms and distances in Å follow each position.
Element x y z (fractional)
K 0.0818 0.2500 0.1475  6 Se 3.20-3.36
K 0.2463 0.7500 0.4831  6 Se 3.26-3.43
K 0.7537 0.2500 0.5169  6 Se 3.26-3.43
K 0.9182 0.7500 0.8525  6 Se 3.20-3.36
Hf 0.4018 0.2500 0.8294  5 Se 2.52-2.77
Hf 0.5982 0.7500 0.1706  5 Se 2.52-2.77
Se 0.1278 0.2500 0.6959  1 Hf 2.52
Se 0.3120 0.7500 0.9872  3 Hf 2.77-2.90
Se 0.4513 0.2500 0.2902  2 Hf 2.71
Se 0.5487 0.7500 0.7098  2 Hf 2.71
Se 0.6880 0.2500 0.0128  3 Hf 2.77-2.90
Se 0.8722 0.7500 0.3041  1 Hf 2.52


3.
Crystalline K2HfSe3 at its relaxed geometry. Source: the Open Quantum Materials Database, functional GGA-PBE.

The total magnetic moment comes out at 0.02 μB/cell. The value obtained for the calculated total energy is -5.085 eV per atom. Its crystal system is orthorhombic. For the theoretical density, the calculation gives 4.5 g cm⁻³.

Lattice parameters (Å, degrees): 15.2817 3.9905 11.8337 90.00 90.00 90.00
Closest atoms and distances in Å follow each position.
Element x y z (fractional)
K 0.0838 0.2500 0.1190  5 Se 3.18-3.39
K 0.2395 0.7500 0.8737  6 Se 3.22-3.45
K 0.2605 0.2500 0.3737  6 Se 3.22-3.45
K 0.4162 0.7500 0.6190  5 Se 3.18-3.39
K 0.5838 0.2500 0.3810  5 Se 3.18-3.39
K 0.7395 0.7500 0.6263  6 Se 3.22-3.45
K 0.7605 0.2500 0.1263  6 Se 3.22-3.45
K 0.9162 0.7500 0.8810  5 Se 3.18-3.39
Hf 0.0754 0.2500 0.6271  5 Se 2.54-2.74
Hf 0.4246 0.7500 0.1271  5 Se 2.54-2.74
Hf 0.5754 0.2500 0.8729  5 Se 2.54-2.74
Hf 0.9246 0.7500 0.3729  5 Se 2.54-2.74
Se 0.0472 0.2500 0.3888  3 Hf 2.74-2.85
Se 0.0757 0.2500 0.8415  1 Hf 2.54
Se 0.1948 0.7500 0.5956  2 Hf 2.73
Se 0.3052 0.2500 0.0956  2 Hf 2.73
Se 0.4243 0.7500 0.3415  1 Hf 2.54
Se 0.4528 0.7500 0.8888  3 Hf 2.74-2.85
Se 0.5472 0.2500 0.1112  3 Hf 2.74-2.85
Se 0.5757 0.2500 0.6585  1 Hf 2.54
Se 0.6948 0.7500 0.9044  2 Hf 2.73
Se 0.8052 0.2500 0.4044  2 Hf 2.73
Se 0.9243 0.7500 0.1585  1 Hf 2.54
Se 0.9528 0.7500 0.6112  3 Hf 2.74-2.85


4.
Crystalline KHfSiSe3 at its relaxed geometry. Source: the Open Quantum Materials Database, functional GGA-PBE.

The total magnetic moment comes out at 0.19 μB/cell. The value obtained for the calculated total energy is -5.227 eV per atom. Its crystal system is orthorhombic. For the theoretical density, the calculation gives 4.6 g cm⁻³.

Lattice parameters (Å, degrees): 8.1968 8.1968 10.9767 90.00 90.00 152.13
Closest atoms and distances in Å follow each position.
Element x y z (fractional)
K 0.2162 0.7838 0.7500  2 Se 3.22, 2 Si 3.44
K 0.7838 0.2162 0.2500  2 Se 3.22, 2 Si 3.44
Hf 0.5000 0.5000 0.0000  6 Se 2.69-2.75
Hf 0.5000 0.5000 0.5000  6 Se 2.69-2.75
Si 0.1070 0.8930 0.2500  4 Se 2.46-2.70
Si 0.8930 0.1070 0.7500  4 Se 2.46-2.70
Se 0.1152 0.8848 0.0039  2 Hf 2.69, 1 Si 2.70
Se 0.1152 0.8848 0.4961  2 Hf 2.69, 1 Si 2.70
Se 0.4855 0.5145 0.7500  2 Si 2.46, 2 Hf 2.75
Se 0.5145 0.4855 0.2500  2 Si 2.46, 2 Hf 2.75
Se 0.8848 0.1152 0.5039  2 Hf 2.69, 1 Si 2.70
Se 0.8848 0.1152 0.9961  2 Hf 2.69, 1 Si 2.70


5.
Crystalline KYHfSe3 at its relaxed geometry. Source: the Open Quantum Materials Database, functional GGA-PBE.

The total magnetic moment comes out at 0.11 μB/cell. The value obtained for the calculated total energy is -5.996 eV per atom. Its crystal system is orthorhombic. For the theoretical density, the calculation gives 5.1 g cm⁻³.

Lattice parameters (Å, degrees): 7.8818 7.8818 10.9485 90.00 90.00 148.60
Closest atoms and distances in Å follow each position.
Element x y z (fractional)
K 0.2474 0.7526 0.7500  6 Se 3.42-3.55
K 0.7526 0.2474 0.2500  6 Se 3.42-3.55
Y 0.5000 0.5000 0.0000  6 Se 2.93-2.94
Y 0.5000 0.5000 0.5000  6 Se 2.93-2.94
Hf 0.0274 0.9726 0.2500  4 Se 2.57-2.61
Hf 0.9726 0.0274 0.7500  4 Se 2.57-2.61
Se 0.1258 0.8742 0.0588  1 Hf 2.57
Se 0.1258 0.8742 0.4412  1 Hf 2.57
Se 0.4284 0.5716 0.2500  2 Hf 2.61
Se 0.5716 0.4284 0.7500  2 Hf 2.61
Se 0.8742 0.1258 0.5588  1 Hf 2.57
Se 0.8742 0.1258 0.9412  1 Hf 2.57


6.
Crystalline KHfZrSe3 at its relaxed geometry. Source: the Open Quantum Materials Database, functional GGA-PBE.

The total magnetic moment comes out at 0.02 μB/cell. The distance to the lowest polymorph of the same formula comes out at 0 meV/atom. The value obtained for the calculated total energy is -6.216 eV per atom. Its crystal system is orthorhombic. For the theoretical density, the calculation gives 5.6 g cm⁻³.

Lattice parameters (Å, degrees): 8.0169 8.0169 10.2522 90.00 90.00 150.68
Closest atoms and distances in Å follow each position.
Element x y z (fractional)
K 0.2412 0.7588 0.7500  6 Se 3.34-3.43
K 0.7588 0.2412 0.2500  6 Se 3.34-3.43
Hf 0.4826 0.5174 0.2500  4 Se 2.59-2.60
Hf 0.5174 0.4826 0.7500  4 Se 2.59-2.60
Zr 0.0000 0.0000 0.0000  6 Se 2.81-2.90
Zr 0.0000 0.0000 0.5000  6 Se 2.81-2.90
Se 0.0875 0.9125 0.2500  2 Hf 2.60, 2 Zr 2.90
Se 0.3795 0.6205 0.0518  1 Hf 2.59, 2 Zr 2.81
Se 0.3795 0.6205 0.4482  1 Hf 2.59, 2 Zr 2.81
Se 0.6205 0.3795 0.5518  1 Hf 2.59, 2 Zr 2.81
Se 0.6205 0.3795 0.9482  1 Hf 2.59, 2 Zr 2.81
Se 0.9125 0.0875 0.7500  2 Hf 2.60, 2 Zr 2.90